## TbHo3Ru8 (PBE-GGA)

Data for crystalline TbHo3Ru8 at its relaxed geometry.

Summary:
Fermi-level density of states = 1.23 states/eV/atom
ΔE_f = -3.68 eV/f.u.
Size of the total moment = 0.00 Bohr magnetons per cell
Crystal system = trigonal

Lattice parameters (Å, degrees): 5.3188 5.3188 26.2147 90.00 90.00 120.00
Space group R3m (No. 160, hexagonal axes)
Unique sites:
Tb: 0.0000 0.0000 0.0000 (multiplicity 3)
Ho: 0.0000 0.0000 0.1250 (multiplicity 3)
Ho: 0.0000 0.0000 0.5001 (multiplicity 3)
Ho: 0.0000 0.0000 0.6249 (multiplicity 3)
Ru: 0.0000 0.0000 0.3126 (multiplicity 3)
Ru: 0.0000 0.0000 0.8126 (multiplicity 3)
Ru: 0.0004 0.5002 0.0628 (multiplicity 9)
Ru: 0.1671 0.3342 0.8955 (multiplicity 9)